# 1
Below is SrTl3 after structural relaxation, with properties calculated at the PBEsol level.

The structure in POSCAR format:
```
SrTl3
1.0
6.9152 0.0000 0.0000
-3.4576 5.9887 0.0000
0.0000 0.0000 11.0671
Tl Sr
12 4
Direct
0.5000 0.0000 0.0000
0.5000 0.0000 0.5000
0.8272 0.1728 0.2500
0.1728 0.3456 0.7500
0.0000 0.5000 0.5000
0.0000 0.5000 0.0000
0.6544 0.8272 0.7500
0.8272 0.6544 0.2500
0.5000 0.5000 0.5000
0.1728 0.8272 0.7500
0.3456 0.1728 0.2500
0.5000 0.5000 0.0000
0.6667 0.3333 0.7500
0.0000 0.0000 0.5000
0.3333 0.6667 0.2500
0.0000 0.0000 0.0000
```

Symmetry: No. 194
E_form (eV/f.u.): -1.21
Energy (eV per atom): -2.7342

# 2
Below is Te2OsRhI after structural relaxation, with properties calculated at the PBEsol level.

The structure in POSCAR format:
```
Te2OsRhI
1.0
5.0568 0.0000 0.0000
0.0000 5.0568 0.0000
0.0000 0.0000 5.1443
Te Os I Rh
2 1 1 1
Direct
0.0000 0.5000 0.0000
0.5000 0.0000 0.0000
0.5000 0.5000 0.5000
0.0000 0.0000 0.5000
0.0000 0.0000 0.0000
```

Symmetry: No. 123
Energy (eV per atom): -4.3683

# 3
Below is Tl2AgAu after structural relaxation, with properties calculated at the PBEsol level.

The structure in POSCAR format:
```
Tl2AgAu
1.0
4.9781 0.0000 0.0000
2.4891 4.3112 0.0000
2.4891 1.4371 4.0646
Ag Tl Au
1 2 1
Direct
0.5000 0.5000 0.5000
0.0000 0.0000 0.0000
0.7500 0.7500 0.7500
0.2500 0.2500 0.2500
```

Symmetry: No. 216
Relative energy among the computed polymorphs (eV per atom): 0.106
E_form (eV/f.u.): 0.58
Energy (eV per atom): -2.9792

# 4
Below is InGe3Rh after structural relaxation, with properties calculated at the PBEsol level.

The structure in POSCAR format:
```
InGe3Rh
1.0
4.7688 0.0000 0.0000
0.0000 4.7688 0.0000
0.0000 0.0000 4.7688
Ge In Rh
3 1 1
Direct
0.0000 0.0000 0.5000
0.0000 0.5000 0.0000
0.5000 0.0000 0.0000
0.5000 0.5000 0.5000
0.0000 0.0000 0.0000
```

Symmetry: No. 221
E_form (eV/f.u.): 0.71
Energy (eV per atom): -5.0452

# 5
Below is YZn2Rh after structural relaxation, with properties calculated at the PBEsol level.

The structure in POSCAR format:
```
YZn2Rh
1.0
-4.4851 0.1431 0.6168
-2.1112 -3.4283 2.0753
-1.6968 0.5712 4.1607
Zn Y Rh
2 1 1
Direct
0.7500 0.7500 0.7500
0.2500 0.2500 0.2500
0.0000 0.0000 0.0000
0.5000 0.5000 0.5000
```

Symmetry: No. 225
E_form (eV/f.u.): -1.58
Energy (eV per atom): -4.9271

# 6
Below is ZnIr5 after structural relaxation, with properties calculated at the PBEsol level.

The structure in POSCAR format:
```
ZnIr5
1.0
-1.0382 2.0232 3.0393
2.7091 -1.7343 2.0799
5.1247 3.2664 -0.4239
Ir Zn
5 1
Direct
0.5000 0.3336 0.3328
0.5000 0.6664 0.6672
0.0000 0.1719 0.6563
0.0000 0.8281 0.3437
0.5000 0.0000 0.0000
0.0000 0.5000 0.0000
```

Symmetry: No. 65
E_form (eV/f.u.): 0.18
Energy (eV per atom): -8.4194

# 7
Below is MnZnSb2 after structural relaxation, with properties calculated at the PBEsol level.

The structure in POSCAR format:
```
MnZnSb2
1.0
-1.1635 2.5667 1.3113
-1.5332 0.6463 -2.6254
-6.1053 -4.0766 2.5620
Mn Zn Sb
1 1 2
Direct
0.5000 0.5000 0.5000
0.5000 0.5000 0.0000
0.0000 0.0000 0.2962
0.0000 0.0000 0.7038
```

Symmetry: No. 123
Energy (eV per atom): -4.8610

# 8
Below is Cd2AgRh after structural relaxation, with properties calculated at the PBEsol level.

The structure in POSCAR format:
```
Cd2AgRh
1.0
-3.6791 -0.4455 -0.9280
0.3689 -4.1343 0.5223
-1.0654 0.4134 4.0252
Rh Ag Cd
1 1 2
Direct
0.5000 0.0000 0.6250
0.5000 0.5000 0.1250
0.0000 0.0000 0.1250
0.0000 0.5000 0.6250
```

Symmetry: No. 123
Relative energy among the computed polymorphs (eV per atom): 0.000
E_form (eV/f.u.): -0.45
Energy (eV per atom): -3.5739

# 9
Below is TcAg2As after structural relaxation, with properties calculated at the PBEsol level.

The structure in POSCAR format:
```
TcAg2As
1.0
-3.7032 2.2273 1.0424
-3.6915 -0.5739 -2.4092
-3.4761 -2.1573 1.7390
As Ag Tc
1 2 1
Direct
0.5000 0.5000 0.5000
0.7500 0.7500 0.7500
0.0000 0.0000 0.0000
0.2500 0.2500 0.2500
```

Symmetry: No. 216
E_form (eV/f.u.): 1.64
Energy (eV per atom): -5.3377

# 10
Below is LiY2Pb after structural relaxation, with properties calculated at the PBEsol level.

The structure in POSCAR format:
```
LiY2Pb
1.0
-2.7978 2.7466 -1.6994
0.0070 -2.5602 -4.1493
-3.6852 -2.7195 1.6718
Y Li Pb
2 1 1
Direct
0.0000 0.5000 0.0000
0.0000 0.0000 0.5000
0.5000 0.5000 0.5000
0.5000 0.0000 0.0000
```

Symmetry: No. 123
E_form (eV/f.u.): -1.43
Energy (eV per atom): -5.2608

# 11
Below is DyHg3 after structural relaxation, with properties calculated at the PBEsol level.

The structure in POSCAR format:
```
DyHg3
1.0
-4.3396 0.3939 2.1754
1.9852 -4.0534 4.6942
0.9042 6.4169 0.6417
Hg Dy
6 2
Direct
0.2500 0.3313 0.1657
0.7500 0.6687 0.8343
0.2500 0.8343 0.6687
0.7500 0.1657 0.8343
0.7500 0.1657 0.3313
0.2500 0.8343 0.1657
0.2500 0.3333 0.6667
0.7500 0.6667 0.3333
```

Symmetry: No. 194
E_form (eV/f.u.): -1.85
Energy (eV per atom): -2.1318

# 12
Below is Na3CrW after structural relaxation, with properties calculated at the PBEsol level.

The structure in POSCAR format:
```
Na3CrW
1.0
5.4961 0.0000 0.0000
0.0000 5.4961 0.0000
0.0000 0.0000 5.4961
Na W Cr
3 1 1
Direct
0.0000 0.0000 0.5000
0.5000 0.0000 0.0000
0.0000 0.5000 0.0000
0.5000 0.5000 0.5000
0.0000 0.0000 0.0000
```

Symmetry: No. 221
E_form (eV/f.u.): 10.91
Energy (eV per atom): -3.4669

# 13
Below is Na2ZnPd2 after structural relaxation, with properties calculated at the PBEsol level.

The structure in POSCAR format:
```
Na2ZnPd2
1.0
-3.8825 -2.4930 -0.2386
3.0292 -4.3822 -3.5043
1.6646 -3.1012 5.3170
Na Pd Zn
4 4 2
Direct
0.5000 0.3314 0.1686
0.5000 0.8314 0.3314
0.5000 0.1686 0.6686
0.5000 0.6686 0.8314
0.0000 0.8567 0.6433
0.0000 0.6433 0.1433
0.0000 0.3567 0.8567
0.0000 0.1433 0.3567
0.0000 0.0000 0.0000
0.0000 0.5000 0.5000
```

Symmetry: No. 127
Relative energy among the computed polymorphs (eV per atom): 0.000
E_form (eV/f.u.): -0.73
Energy (eV per atom): -3.4056

# 14
Below is K2Se after structural relaxation, with properties calculated at the PBEsol level.

The structure in POSCAR format:
```
K2Se
1.0
-1.4987 5.0924 -0.8596
-2.7289 1.2847 -4.4520
-5.1904 1.3672 0.3283
K Se
2 1
Direct
0.2500 0.2500 0.2500
0.7500 0.7500 0.7500
0.0000 0.0000 0.0000
```

Symmetry: No. 225
Energy (eV per atom): -3.1234

# 15
Below is SrMn2Ir after structural relaxation, with properties calculated at the PBEsol level.

The structure in POSCAR format:
```
SrMn2Ir
1.0
2.9448 0.0000 0.0000
1.4724 2.5503 0.0000
1.4724 0.8501 9.5209
Mn Sr Ir
2 1 1
Direct
0.2642 0.2642 0.2075
0.7358 0.7358 0.7925
0.5000 0.5000 0.5000
0.0000 0.0000 0.0000
```

Symmetry: No. 166
E_form (eV/f.u.): 3.53
Energy (eV per atom): -6.9132

# 16
Below is CoTcSb2 after structural relaxation, with properties calculated at the PBEsol level.

The structure in POSCAR format:
```
CoTcSb2
1.0
-0.7317 -1.7338 -4.1260
3.5083 -1.0015 -2.6935
1.0373 -4.3309 -0.8562
Sb Co Tc
2 1 1
Direct
0.7500 0.7500 0.7500
0.2500 0.2500 0.2500
0.0000 0.0000 0.0000
0.5000 0.5000 0.5000
```

Symmetry: No. 225
Relative energy among the computed polymorphs (eV per atom): 0.074
Energy (eV per atom): -6.7716

# 17
Below is GaGeAs2Rh after structural relaxation, with properties calculated at the PBEsol level.

The structure in POSCAR format:
```
GaGeAs2Rh
1.0
-2.4479 -2.6564 2.7731
3.7672 -0.4001 2.9421
-1.4725 3.8755 2.4125
Rh As Ge Ga
1 2 1 1
Direct
0.5000 0.0000 0.0000
0.0000 0.0000 0.5000
0.0000 0.5000 0.0000
0.5000 0.5000 0.5000
0.0000 0.0000 0.0000
```

Symmetry: No. 123
E_form (eV/f.u.): 4.21
Energy (eV per atom): -4.4835

# 18
Below is Cd2AgHg after structural relaxation, with properties calculated at the PBEsol level.

The structure in POSCAR format:
```
Cd2AgHg
1.0
3.1634 0.0000 0.0037
0.0000 4.7445 0.0000
-0.0082 0.0000 5.1817
Hg Cd Ag
1 2 1
Direct
0.3752 0.0000 0.5387
0.8745 0.0000 0.0518
0.8754 0.5000 0.7082
0.3749 0.5000 0.2013
```

Symmetry: No. 25
E_form (eV/f.u.): -0.13
Energy (eV per atom): -1.5996

# 19
Below is Li2FeW after structural relaxation, with properties calculated at the PBEsol level.

The structure in POSCAR format:
```
Li2FeW
1.0
4.0701 0.0000 0.0000
2.0350 3.5248 0.0000
2.0350 1.1749 3.3232
Li W Fe
2 1 1
Direct
0.0000 0.0000 0.0000
0.7500 0.7500 0.7500
0.5000 0.5000 0.5000
0.2500 0.2500 0.2500
```

Symmetry: No. 216
Relative energy among the computed polymorphs (eV per atom): 0.105
E_form (eV/f.u.): 2.05
Energy (eV per atom): -6.1624

# 20
Below is TiInCu2Si after structural relaxation, with properties calculated at the PBEsol level.

The structure in POSCAR format:
```
TiInCu2Si
1.0
-3.1798 -2.4501 1.5989
2.9004 -2.9499 1.2478
0.4170 2.1622 4.1426
Ti In Cu Si
1 1 2 1
Direct
0.0000 0.0000 0.5000
0.5000 0.5000 0.5000
0.0000 0.5000 0.0000
0.5000 0.0000 0.0000
0.0000 0.0000 0.0000
```

Symmetry: No. 123
Energy (eV per atom): -4.9225

# 21
Below is Mn4Re after structural relaxation, with properties calculated at the PBEsol level.

The structure in POSCAR format:
```
Mn4Re
1.0
-0.3036 1.9295 -2.9629
-4.1220 0.7365 -1.2232
-0.2020 4.3016 0.6968
Mn Re
4 1
Direct
0.8089 0.7847 0.5975
0.1911 0.2153 0.4025
0.5936 0.5975 0.2153
0.4064 0.4025 0.7847
0.0000 0.0000 0.0000
```

Symmetry: No. 87
Relative energy among the computed polymorphs (eV per atom): 0.000
E_form (eV/f.u.): 0.47
Energy (eV per atom): -10.3812

# 22
Below is Y2ZrMo after structural relaxation, with properties calculated at the PBEsol level.

The structure in POSCAR format:
```
Y2ZrMo
1.0
3.1558 0.0000 0.0096
0.0000 4.8910 0.0000
-1.3600 0.0000 5.8554
Y Mo Zr
2 1 1
Direct
0.1037 0.0000 0.2639
0.8963 0.0000 0.7361
0.5000 0.5000 0.5000
0.5000 0.5000 0.0000
```

Symmetry: No. 10
Relative energy among the computed polymorphs (eV per atom): 0.037
E_form (eV/f.u.): 1.54
Energy (eV per atom): -8.2415

# 23
Below is MgTa2O6 after structural relaxation, with properties calculated at the PBEsol level.

The structure in POSCAR format:
```
MgTa2O6
1.0
-2.1916 1.9426 4.2460
-4.9422 -1.5545 -1.8397
0.8004 -6.6166 3.4404
Ta O Mg
4 12 2
Direct
0.9907 0.7613 0.2480
0.4907 0.2387 0.2520
0.9907 0.7613 0.7520
0.4907 0.2387 0.7480
0.8197 0.0643 0.8175
0.2266 0.4781 0.3075
0.8197 0.0643 0.1825
0.7266 0.5219 0.1925
0.2266 0.4781 0.6925
0.7266 0.5219 0.8075
0.5951 0.2868 0.5000
0.3197 0.9357 0.3175
0.8531 0.7712 0.5000
0.0951 0.7132 0.0000
0.3531 0.2288 0.0000
0.3197 0.9357 0.6825
0.4670 0.6766 0.5000
0.9670 0.3234 0.0000
```

Symmetry: No. 31
Energy (eV per atom): -9.3005

# 24
Below is Sr2LaAsC after structural relaxation, with properties calculated at the PBEsol level.

The structure in POSCAR format:
```
Sr2LaAsC
1.0
-0.3513 -1.0701 4.8289
3.8758 -3.4404 -0.4804
3.4542 3.7404 1.0802
Sr As C La
2 1 1 1
Direct
0.0000 0.0000 0.5000
0.0000 0.5000 0.0000
0.5000 0.5000 0.5000
0.0000 0.0000 0.0000
0.5000 0.0000 0.0000
```

Symmetry: No. 123
E_form (eV/f.u.): -1.59
Energy (eV per atom): -5.0726

# 25
Below is Ba2TlGa2 after structural relaxation, with properties calculated at the PBEsol level.

The structure in POSCAR format:
```
Ba2TlGa2
1.0
-2.9397 -0.0845 2.4334
2.2010 -1.7235 2.5991
3.2991 10.4846 1.3557
Ba Tl Ga
2 1 2
Direct
0.3895 0.3895 0.7791
0.6105 0.6105 0.2209
0.0000 0.0000 0.0000
0.2500 0.7500 0.5000
0.7500 0.2500 0.5000
```

Symmetry: No. 139
Relative energy among the computed polymorphs (eV per atom): 0.000
E_form (eV/f.u.): -1.21
Energy (eV per atom): -2.9644

# 26
Below is RbTmS2 after structural relaxation, with properties calculated at the PBEsol level.

The structure in POSCAR format:
```
RbTmS2
1.0
3.9601 0.0000 0.0000
1.9800 3.4295 0.0000
1.9800 1.1432 7.5531
S Rb Tm
2 1 1
Direct
0.2305 0.2305 0.3086
0.7695 0.7695 0.6914
0.0000 0.0000 0.0000
0.5000 0.5000 0.5000
```

Symmetry: No. 166
Energy (eV per atom): -5.5597

# 27
Below is CsSi2Rh2 after structural relaxation, with properties calculated at the PBEsol level.

The structure in POSCAR format:
```
CsSi2Rh2
1.0
3.8817 0.0000 0.0000
0.0000 3.8817 0.0000
-1.9408 -1.9408 7.3310
Si Rh Cs
2 2 1
Direct
0.7500 0.2500 0.5000
0.2500 0.7500 0.5000
0.3388 0.3388 0.6776
0.6612 0.6612 0.3224
0.0000 0.0000 0.0000
```

Symmetry: No. 139
Energy (eV per atom): -6.0016